VASP calculation (PBE-GGA) on NdSm4Ho2Mg after structural relaxation.

a b c (Å): 5.829 9.538 5.823
angles (deg): 52.38 90.00 90.00
Atoms (fractional coordinates):
Nd 0.500 0.500 0.000
Sm 0.000 0.744 0.755
Sm 0.000 0.256 0.245
Sm 0.500 0.744 0.256
Sm 0.500 0.256 0.744
Ho 0.000 0.000 0.000
Ho 0.500 0.000 0.500
Mg 0.000 0.500 0.500

Results
SG: P4/mmm, No. 123
DFT total energy in eV per formula unit: -33.8
Magnetic moment in μB/f.u.: 0.00
E_form in meV/atom: 73